# 1
A plane-wave DFT calculation with PBE-GGA was carried out for a geometry-optimized Rb2HoAuBr6 structure.

Computed properties:
Its symmetry is I4/mmm. As for the total energy: -33.84 eV per formula unit.

Cell: 7.935 7.935 7.935 Å, 120.12 120.12 89.79°
Positions (direct):
Rb  0.250  0.750  0.500
Rb  0.750  0.250  0.500
Ho  0.000  0.000  0.000
Au  0.500  0.500  0.000
Br  0.246  0.246  0.000
Br  0.247  0.247  0.494
Br  0.247  0.753  0.000
Br  0.753  0.247  0.000
Br  0.753  0.753  0.506
Br  0.754  0.754  0.000

***

# 2
A plane-wave DFT calculation with PBE-GGA was carried out for a geometry-optimized Au2IBr structure.

Computed properties:
Its symmetry is P3m1. The value obtained for the relative energy among the computed polymorphs is 0.157 eV per atom. As for the total energy: -9.38 eV per formula unit.

Cell: 4.523 4.523 7.338 Å, 90.00 90.00 120.00°
Positions (direct):
Au  0.000  0.000  0.000
Au  0.333  0.667  0.500
I  0.333  0.667  0.875
Br  0.000  0.000  0.375

***

# 3
A plane-wave DFT calculation with PBE-GGA was carried out for a geometry-optimized Au2IBr structure.

Computed properties:
Its symmetry is Cmme. The value obtained for the relative energy among the computed polymorphs is 0.003 eV per atom. As for the total energy: -10.00 eV per formula unit.

Cell: 6.093 6.132 12.677 Å, 90.00 90.00 90.00°
Positions (direct):
Au  0.000  0.000  0.000
Au  0.000  0.500  0.000
Au  0.250  0.250  0.500
Au  0.250  0.750  0.500
Au  0.500  0.000  0.000
Au  0.500  0.500  0.000
Au  0.750  0.250  0.500
Au  0.750  0.750  0.500
I  0.000  0.250  0.330
I  0.000  0.750  0.670
I  0.500  0.250  0.670
I  0.500  0.750  0.330
Br  0.000  0.250  0.846
Br  0.000  0.750  0.154
Br  0.500  0.250  0.154
Br  0.500  0.750  0.846

***

# 4
A plane-wave DFT calculation with PBE-GGA was carried out for a geometry-optimized Au2IBr structure.

Computed properties:
Its symmetry is P-42_1m. The value obtained for the relative energy among the computed polymorphs is 0.002 eV per atom. As for the total energy: -10.00 eV per formula unit.

Cell: 4.325 4.325 12.651 Å, 90.00 90.00 90.00°
Positions (direct):
Au  0.247  0.253  0.261
Au  0.253  0.753  0.739
Au  0.747  0.247  0.739
Au  0.753  0.747  0.261
I  0.000  0.500  0.905
I  0.500  0.000  0.095
Br  0.000  0.500  0.418
Br  0.500  0.000  0.582

***

# 5
A plane-wave DFT calculation with PBE-GGA was carried out for a geometry-optimized Au6IBr structure.

Computed properties:
Its symmetry is F-43m. As for the total energy: -18.78 eV per formula unit.

Cell: 6.708 6.708 6.708 Å, 60.00 60.00 60.00°
Positions (direct):
Au  0.209  0.209  0.791
Au  0.209  0.791  0.209
Au  0.209  0.791  0.791
Au  0.791  0.209  0.209
Au  0.791  0.209  0.791
Au  0.791  0.791  0.209
I  0.250  0.250  0.250
Br  0.500  0.500  0.500

***

# 6
A plane-wave DFT calculation with PBE-GGA was carried out for a geometry-optimized Au4IBr3 structure.

Computed properties:
Its symmetry is Cmm2. As for the total energy: -20.29 eV per formula unit.

Cell: 6.054 6.096 12.549 Å, 90.00 90.00 90.00°
Positions (direct):
Au  0.000  0.249  0.000
Au  0.000  0.751  0.000
Au  0.246  0.500  0.496
Au  0.254  0.000  0.496
Au  0.500  0.251  0.000
Au  0.500  0.749  0.000
Au  0.746  0.000  0.496
Au  0.754  0.500  0.496
I  0.000  0.000  0.664
I  0.500  0.500  0.664
Br  0.000  0.000  0.156
Br  0.000  0.500  0.335
Br  0.000  0.500  0.844
Br  0.500  0.000  0.335
Br  0.500  0.000  0.844
Br  0.500  0.500  0.156

***

# 7
A plane-wave DFT calculation with PBE-GGA was carried out for a geometry-optimized Au2IBr structure.

Computed properties:
Its symmetry is P4_2cm. The value obtained for the relative energy among the computed polymorphs is 0.000 eV per atom. As for the total energy: -10.01 eV per formula unit.

Cell: 4.327 4.327 12.661 Å, 90.00 90.00 90.00°
Positions (direct):
Au  0.247  0.247  0.000
Au  0.247  0.753  0.500
Au  0.753  0.247  0.500
Au  0.753  0.753  0.000
I  0.500  0.500  0.334
I  0.500  0.500  0.834
Br  0.000  0.000  0.158
Br  0.000  0.000  0.658

***

# 8
A plane-wave DFT calculation with PBE-GGA was carried out for a geometry-optimized KAu2IBr2 structure.

Computed properties:
Its symmetry is P2_1/m. As for the total energy: -15.74 eV per formula unit.

Cell: 7.827 5.620 9.937 Å, 90.00 109.52 90.00°
Positions (direct):
K  0.187  0.250  0.413
K  0.813  0.750  0.587
Au  0.394  0.000  0.857
Au  0.394  0.500  0.857
Au  0.606  0.000  0.143
Au  0.606  0.500  0.143
I  0.256  0.750  0.066
I  0.744  0.250  0.934
Br  0.069  0.250  0.707
Br  0.396  0.750  0.611
Br  0.604  0.250  0.389
Br  0.931  0.750  0.293

***

# 9
A plane-wave DFT calculation with PBE-GGA was carried out for a geometry-optimized NaAuI2Br2 structure.

Computed properties:
Its symmetry is P2_1/c. The value obtained for the relative energy among the computed polymorphs is 0.000 eV per atom. As for the total energy: -14.35 eV per formula unit.

Cell: 7.229 4.546 14.343 Å, 90.00 118.88 90.00°
Positions (direct):
Na  0.000  0.000  0.000
Na  0.000  0.500  0.500
Au  0.500  0.000  0.500
Au  0.500  0.500  0.000
I  0.192  0.171  0.846
I  0.192  0.329  0.346
I  0.808  0.671  0.654
I  0.808  0.829  0.154
Br  0.311  0.004  0.607
Br  0.311  0.496  0.107
Br  0.689  0.504  0.893
Br  0.689  0.996  0.393

***

# 10
A plane-wave DFT calculation with PBE-GGA was carried out for a geometry-optimized RbAuI2Br structure.

Computed properties:
Its symmetry is I4/mmm. As for the total energy: -12.60 eV per formula unit.

Cell: 8.234 8.234 8.234 Å, 120.00 120.00 90.00°
Positions (direct):
Rb  0.250  0.750  0.500
Rb  0.750  0.250  0.500
Au  0.000  0.000  0.000
Au  0.500  0.500  0.000
I  0.232  0.232  0.465
I  0.232  0.768  0.000
I  0.768  0.232  0.000
I  0.768  0.768  0.535
Br  0.288  0.288  0.000
Br  0.712  0.712  0.000

***

# 11
A plane-wave DFT calculation with PBE-GGA was carried out for a geometry-optimized Rb2IrAuBr6 structure.

Computed properties:
Its symmetry is Fm-3m. As for the total energy: -31.39 eV per formula unit.

Cell: 7.528 7.528 7.528 Å, 60.00 60.00 60.00°
Positions (direct):
Rb  0.250  0.250  0.250
Rb  0.750  0.750  0.750
Ir  0.000  0.000  0.000
Au  0.500  0.500  0.500
Br  0.239  0.239  0.761
Br  0.239  0.761  0.239
Br  0.239  0.761  0.761
Br  0.761  0.239  0.239
Br  0.761  0.239  0.761
Br  0.761  0.761  0.239

***

# 12
A plane-wave DFT calculation with PBE-GGA was carried out for a geometry-optimized Tl2IrAuBr6 structure.

Computed properties:
Its symmetry is Fm-3m. As for the total energy: -30.31 eV per formula unit.

Cell: 7.458 7.458 7.458 Å, 60.00 60.00 60.00°
Positions (direct):
Tl  0.250  0.250  0.250
Tl  0.750  0.750  0.750
Ir  0.000  0.000  0.000
Au  0.500  0.500  0.500
Br  0.239  0.239  0.761
Br  0.239  0.761  0.239
Br  0.239  0.761  0.761
Br  0.761  0.239  0.239
Br  0.761  0.239  0.761
Br  0.761  0.761  0.239

***

# 13
A plane-wave DFT calculation with PBE-GGA was carried out for a geometry-optimized K2AuBrO structure.

Computed properties:
Its symmetry is P2_1/m. As for the total energy: -15.45 eV per formula unit.

Cell: 7.331 4.977 8.510 Å, 90.00 113.40 90.00°
Positions (direct):
K  0.157  0.250  0.173
K  0.306  0.750  0.829
K  0.694  0.250  0.171
K  0.843  0.750  0.827
Au  0.093  0.250  0.546
Au  0.907  0.750  0.454
Br  0.499  0.250  0.738
Br  0.501  0.750  0.262
O  0.208  0.750  0.084
O  0.792  0.250  0.916

***

# 14
A plane-wave DFT calculation with PBE-GGA was carried out for a geometry-optimized K2PdAuBr6 structure.

Computed properties:
Its symmetry is Fm-3m. As for the total energy: -28.91 eV per formula unit.

Cell: 7.532 7.532 7.532 Å, 60.00 60.00 60.00°
Positions (direct):
K  0.250  0.250  0.250
K  0.750  0.750  0.750
Pd  0.000  0.000  0.000
Au  0.500  0.500  0.500
Br  0.244  0.244  0.756
Br  0.244  0.756  0.244
Br  0.244  0.756  0.756
Br  0.756  0.244  0.244
Br  0.756  0.244  0.756
Br  0.756  0.756  0.244

***

# 15
A plane-wave DFT calculation with PBE-GGA was carried out for a geometry-optimized K2SbAuBr6 structure.

Computed properties:
Its symmetry is Fm-3m. As for the total energy: -28.59 eV per formula unit.

Cell: 7.921 7.921 7.921 Å, 60.00 60.00 60.00°
Positions (direct):
K  0.250  0.250  0.250
K  0.750  0.750  0.750
Sb  0.000  0.000  0.000
Au  0.500  0.500  0.500
Br  0.251  0.251  0.749
Br  0.251  0.749  0.251
Br  0.251  0.749  0.749
Br  0.749  0.251  0.251
Br  0.749  0.251  0.749
Br  0.749  0.749  0.251

***

# 16
A plane-wave DFT calculation with PBE-GGA was carried out for a geometry-optimized K2TcAuBr6 structure.

Computed properties:
Its symmetry is Fm-3m. As for the total energy: -33.35 eV per formula unit.

Cell: 7.679 7.679 7.679 Å, 60.00 60.00 60.00°
Positions (direct):
K  0.250  0.250  0.250
K  0.750  0.750  0.750
Tc  0.000  0.000  0.000
Au  0.500  0.500  0.500
Br  0.239  0.239  0.761
Br  0.239  0.761  0.239
Br  0.239  0.761  0.761
Br  0.761  0.239  0.239
Br  0.761  0.239  0.761
Br  0.761  0.761  0.239

***

# 17
A plane-wave DFT calculation with PBE-GGA was carried out for a geometry-optimized KTl2AuBr6 structure.

Computed properties:
Its symmetry is Fm-3m. As for the total energy: -24.91 eV per formula unit.

Cell: 8.078 8.078 8.078 Å, 60.00 60.00 60.00°
Positions (direct):
K  0.000  0.000  0.000
Tl  0.250  0.250  0.250
Tl  0.750  0.750  0.750
Au  0.500  0.500  0.500
Br  0.268  0.268  0.732
Br  0.268  0.732  0.268
Br  0.268  0.732  0.732
Br  0.732  0.268  0.268
Br  0.732  0.268  0.732
Br  0.732  0.732  0.268

***

# 18
A plane-wave DFT calculation with PBE-GGA was carried out for a geometry-optimized K2TlAuBr6 structure.

Computed properties:
Its symmetry is Fm-3m. As for the total energy: -26.63 eV per formula unit.

Cell: 7.926 7.926 7.926 Å, 60.00 60.00 60.00°
Positions (direct):
K  0.250  0.250  0.250
K  0.750  0.750  0.750
Tl  0.000  0.000  0.000
Au  0.500  0.500  0.500
Br  0.258  0.258  0.742
Br  0.258  0.742  0.258
Br  0.258  0.742  0.742
Br  0.742  0.258  0.258
Br  0.742  0.258  0.742
Br  0.742  0.742  0.258

***

# 19
A plane-wave DFT calculation with PBE-GGA was carried out for a geometry-optimized K2ZrAuBr6 structure.

Computed properties:
Its symmetry is Fm-3m. As for the total energy: -35.37 eV per formula unit.

Cell: 7.998 7.998 7.998 Å, 60.00 60.00 60.00°
Positions (direct):
K  0.250  0.250  0.250
K  0.750  0.750  0.750
Zr  0.000  0.000  0.000
Au  0.500  0.500  0.500
Br  0.236  0.236  0.764
Br  0.236  0.764  0.236
Br  0.236  0.764  0.764
Br  0.764  0.236  0.236
Br  0.764  0.236  0.764
Br  0.764  0.764  0.236

***

# 20
A plane-wave DFT calculation with PBE-GGA was carried out for a geometry-optimized Rb2LiAuBr6 structure.

Computed properties:
Its symmetry is R-3m. As for the total energy: -27.24 eV per formula unit.

Cell: 13.742 13.742 13.742 Å, 31.44 31.44 31.44°
Positions (direct):
Rb  0.122  0.122  0.122
Rb  0.296  0.296  0.296
Rb  0.704  0.704  0.704
Rb  0.878  0.878  0.878
Li  0.421  0.421  0.421
Li  0.579  0.579  0.579
Au  0.000  0.000  0.000
Au  0.500  0.500  0.500
Br  0.122  0.629  0.629
Br  0.209  0.209  0.701
Br  0.209  0.701  0.209
Br  0.299  0.791  0.791
Br  0.371  0.371  0.878
Br  0.371  0.878  0.371
Br  0.629  0.122  0.629
Br  0.629  0.629  0.122
Br  0.701  0.209  0.209
Br  0.791  0.299  0.791
Br  0.791  0.791  0.299
Br  0.878  0.371  0.371

***

# 21
A plane-wave DFT calculation with PBE-GGA was carried out for a geometry-optimized Rb2MgAuBr6 structure.

Computed properties:
Its symmetry is R3. The value obtained for the relative energy among the computed polymorphs is 0.034 eV per atom. As for the total energy: -27.74 eV per formula unit.

Cell: 7.572 7.572 7.572 Å, 60.87 60.87 60.87°
Positions (direct):
Rb  0.000  0.000  0.000
Rb  0.497  0.497  0.497
Mg  0.750  0.750  0.750
Au  0.250  0.250  0.250
Br  0.046  0.948  0.503
Br  0.456  0.550  0.996
Br  0.503  0.046  0.948
Br  0.550  0.996  0.456
Br  0.948  0.503  0.046
Br  0.996  0.456  0.550

***

# 22
A plane-wave DFT calculation with PBE-GGA was carried out for a geometry-optimized Rb2MgAuBr6 structure.

Computed properties:
Its symmetry is I4/m. The value obtained for the relative energy among the computed polymorphs is 0.000 eV per atom. As for the total energy: -28.08 eV per formula unit.

Cell: 7.889 7.889 7.889 Å, 124.46 124.46 82.44°
Positions (direct):
Rb  0.250  0.750  0.500
Rb  0.750  0.250  0.500
Mg  0.000  0.000  0.000
Au  0.500  0.500  0.000
Br  0.195  0.320  0.515
Br  0.216  0.216  0.000
Br  0.320  0.805  0.125
Br  0.680  0.195  0.875
Br  0.784  0.784  0.000
Br  0.805  0.680  0.485